Below is NbSn2Ir after structural relaxation, with properties calculated at the PBEsol level.

```
data_NbSn2Ir
_cell_length_a 6.609
_cell_length_b 6.609
_cell_length_c 6.609
_cell_angle_alpha 90.00
_cell_angle_beta 90.00
_cell_angle_gamma 90.00
_space_group_name_H-M_alt 'F m -3 m'
_space_group_IT_number 225
_space_group_name_Hall '-F 4 2 3'
loop_
_atom_site_label
_atom_site_fract_x
_atom_site_fract_y
_atom_site_fract_z
Nb1 0.000 0.000 0.000
Sn1 0.250 0.250 0.250
Ir1 0.000 0.000 0.500
```

Results
Formation energy (kJ per mole of atoms): 8
M_tot (μB/f.u.): 0.525
Total energy (eV for the cell shown): -115.4